Entry 1:
The following is a PBE calculation of AcSm6Y3 after structural relaxation, from OQMD via LeMat-Bulk.

Unit cell a=8.675 b=8.675 c=8.675 alpha=121.96 beta=121.96 gamma=86.64
Fractional positions:
1 Ac 0.000 0.000 0.000
2 Sm 0.000 0.336 0.336
3 Sm 0.000 0.664 0.664
4 Sm 0.250 0.250 0.000
5 Sm 0.336 0.000 0.336
6 Sm 0.664 0.000 0.664
7 Sm 0.750 0.750 0.000
8 Y 0.250 0.750 0.500
9 Y 0.500 0.500 0.000
10 Y 0.750 0.250 0.500

- Energy of formation from the pure elements: 1207 meV per atom
- E_tot: -39.69 eV per cell

---

Entry 2:
The following is a PBE calculation of AcSmZn after structural relaxation, from OQMD via LeMat-Bulk.

Unit cell a=5.244 b=5.244 c=5.244 alpha=60.00 beta=60.00 gamma=60.00
Fractional positions:
1 Ac 0.000 0.000 0.000
2 Sm 0.500 0.500 0.500
3 Zn 0.250 0.250 0.250

- Energy of formation from the pure elements: 45 meV per atom
- E_tot: -9.95 eV per cell

---

Entry 3:
The following is a PBE calculation of AcSmZr after structural relaxation, from OQMD via LeMat-Bulk.

Unit cell a=5.390 b=5.390 c=5.390 alpha=60.00 beta=60.00 gamma=60.00
Fractional positions:
1 Ac 0.000 0.000 0.000
2 Sm 0.250 0.250 0.250
3 Zr 0.500 0.500 0.500

- Energy of formation from the pure elements: 934 meV per atom
- E_tot: -14.56 eV per cell

---

Entry 4:
The following is a PBE calculation of AcTbSn after structural relaxation, from OQMD via LeMat-Bulk.

Unit cell a=5.402 b=5.402 c=5.402 alpha=60.00 beta=60.00 gamma=60.00
Fractional positions:
1 Ac 0.000 0.000 0.000
2 Tb 0.500 0.500 0.500
3 Sn 0.250 0.250 0.250

- E_tot: -13.78 eV per cell